The following is a PBE calculation of a relaxed SmEuLu4 crystal, from the Alexandria database.

abc: 6.617 6.617 6.617
angles: 60.00 60.00 60.00
Site moments in Bohr magnetons follow the coordinates.
Element x y z (fractional)
1 Eu 0.250 0.250 0.250  -6.92
2 Lu 0.123 0.626 0.626  -0.04
3 Lu 0.626 0.123 0.626  -0.04
4 Lu 0.626 0.626 0.123  -0.04
5 Lu 0.626 0.626 0.626  -0.04
6 Sm 0.000 0.000 0.000  0.28

Summary:
E_form (eV per atom): 0.27
Calculated volume (A^3/atom): 34.14
Density (Mg/m³): 8.1
Density of states at the Fermi level (states/eV/cell): 9.81